Material: LaTb2Nd3As6
Method: DFT, GGA-PBE
State: optimized geometry

The structure in POSCAR format:
```
LaTb2Nd3As6
1.0
7.356 -0.001 0.001
-3.677 6.371 0.001
-1.227 -2.124 6.936
As Tb La Nd
6 2 1 3
Direct
0.742 0.742 0.245 As
0.578 0.918 0.754 As
0.258 0.258 0.755 As
0.918 0.578 0.754 As
0.422 0.082 0.246 As
0.082 0.422 0.246 As
0.333 0.667 0.000 Tb
0.667 0.333 0.000 Tb
0.000 0.000 0.000 La
0.835 0.165 0.500 Nd
0.165 0.835 0.500 Nd
0.500 0.500 0.500 Nd
```

The value obtained for the formation energy is -1523 meV/atom. For the electronic total energy, the calculation gives -6.222 eV per atom.